Run w
Material: KNa6Sr
Method: DFT, PBE
State: optimized geometry

Unit cell a=7.039 b=7.039 c=7.039 alpha=90.00 beta=90.00 gamma=90.00
Sites, in units of the cell vectors:
K1 0.500 0.500 0.500
Na1 0.500 0.753 0.000
Na2 0.753 0.000 0.500
Na3 0.000 0.500 0.247
Na4 0.247 0.000 0.500
Na5 0.500 0.247 0.000
Na6 0.000 0.500 0.753
Sr1 0.000 0.000 0.000

## Properties
For the total moment, the calculation gives 0.0 μB per cell. The crystal system is cubic.

Run x
Material: KNa6Sr
Method: DFT, PBE
State: optimized geometry

Unit cell a=5.568 b=5.568 c=11.284 alpha=90.00 beta=90.00 gamma=90.00
Sites, in units of the cell vectors:
K1 0.000 0.000 0.000
Na1 0.500 0.500 0.000
Na2 0.500 0.500 0.500
Na3 0.500 0.000 0.252
Na4 0.500 0.000 0.748
Na5 0.000 0.500 0.252
Na6 0.000 0.500 0.748
Sr1 0.000 0.000 0.500

## Properties
For the total moment, the calculation gives 0.0 μB per cell. The crystal system is tetragonal.

What is the least stable structure shown above? It is run w.